Entry 1:
{
  "formula": "HoBRh4",
  "functional": "PBE",
  "state": "relaxed",
  "delta_e_f_ev_per_atom": -0.04,
  "e_tot_ry_per_atom": -0.5011,
  "total_magnetization_mub_per_cell": 0.0,
  "lattice_angstrom": [[5.1004, 0.0000, 0.0000], [0.0000, 5.1004, 0.0000], [0.0000, 0.0000, 8.0221]],
  "species": ["Ho", "Ho", "B", "B", "Rh", "Rh", "Rh", "Rh", "Rh", "Rh", "Rh", "Rh"],
  "fractional_positions": [[0.2500, 0.7500, 0.2500], [0.7500, 0.2500, 0.7500], [0.2500, 0.7500, 0.7500], [0.7500, 0.2500, 0.2500], [0.0073, 0.2500, 0.0572], [0.2500, 0.0073, 0.5572], [0.2500, 0.4927, 0.5572], [0.4927, 0.2500, 0.0572], [0.5073, 0.7500, 0.9428], [0.7500, 0.5073, 0.4428], [0.7500, 0.9927, 0.4428], [0.9927, 0.7500, 0.9428]]
}

---

Entry 2:
{
  "formula": "AcGdCuPd",
  "functional": "PBE",
  "state": "relaxed",
  "delta_e_f_ev_per_atom": -0.42,
  "e_tot_ry_per_atom": -0.5359,
  "total_magnetization_mub_per_cell": 28.8,
  "lattice_angstrom": [[7.3571, 0.0000, 0.0000], [0.0000, 7.3571, 0.0000], [0.0000, 0.0000, 7.3571]],
  "species": ["Ac", "Ac", "Ac", "Ac", "Gd", "Gd", "Gd", "Gd", "Cu", "Cu", "Cu", "Cu", "Pd", "Pd", "Pd", "Pd"],
  "fractional_positions": [[0.0000, 0.0000, 0.0000], [0.0000, 0.5000, 0.5000], [0.5000, 0.0000, 0.5000], [0.5000, 0.5000, 0.0000], [0.0000, 0.0000, 0.5000], [0.0000, 0.5000, 0.0000], [0.5000, 0.0000, 0.0000], [0.5000, 0.5000, 0.5000], [0.2500, 0.2500, 0.7500], [0.2500, 0.7500, 0.2500], [0.7500, 0.2500, 0.2500], [0.7500, 0.7500, 0.7500], [0.2500, 0.2500, 0.2500], [0.2500, 0.7500, 0.7500], [0.7500, 0.2500, 0.7500], [0.7500, 0.7500, 0.2500]]
}

---

Entry 3:
{
  "formula": "MgTaSi3",
  "functional": "PBE",
  "state": "relaxed",
  "e_tot_ry_per_atom": -0.3198,
  "total_magnetization_mub_per_cell": 0.0,
  "formation_energy_uncorrected_ev_per_atom": 1.5923,
  "e_above_lowest_polymorph_mev_per_atom": 1021,
  "lattice_angstrom": [[4.6587, 0.0000, 0.0000], [0.0000, 4.6587, 0.0000], [0.0000, 0.0000, 4.6587]],
  "species": ["Mg", "Ta", "Si", "Si", "Si"],
  "fractional_positions": [[0.0000, 0.0000, 0.0000], [0.5000, 0.5000, 0.5000], [0.0000, 0.0000, 0.5000], [0.0000, 0.5000, 0.0000], [0.5000, 0.0000, 0.0000]]
}

---

Entry 4:
{
  "formula": "BaIn2Br",
  "functional": "PBE",
  "state": "relaxed",
  "e_tot_ry_per_atom": -0.2177,
  "total_magnetization_mub_per_cell": 0.0,
  "formation_energy_uncorrected_ev_per_atom": -0.6940,
  "e_above_lowest_polymorph_mev_per_atom": 40,
  "lattice_angstrom": [[4.3205, 0.0000, 0.0000], [0.0000, 4.7678, 0.0000], [0.0000, 0.0000, 13.5438]],
  "species": ["Ba", "Ba", "In", "In", "In", "In", "Br", "Br"],
  "fractional_positions": [[0.0000, 0.0000, 0.0000], [0.5000, 0.5000, 0.5000], [0.0000, 0.5000, 0.2535], [0.0000, 0.5000, 0.7465], [0.5000, 0.0000, 0.2465], [0.5000, 0.0000, 0.7535], [0.0000, 0.0000, 0.5000], [0.5000, 0.5000, 0.0000]]
}

---

no.,D(E_F) (states/eV/cell)
1,11.590
2,12.898
3,6.587
4,7.041